Entry 1:
The following is a DFT calculation (PBE-GGA) of a relaxed Cs2KSb2 crystal.

M_tot: 0.21 μB per atom
Relative energy among the computed polymorphs: 0 meV per atom
Calculated volume: 50.736 Å³/atom
Formation energy without anion corrections: -37.4 kJ/mol of atoms
Density: 3.590 g cm⁻³

Lattice parameters (Å, degrees): 7.578 7.531 10.531 100.65 90.00 120.21
Last column: magnetic moment on the atom in μB.
Element x y z (fractional)
Cs 0.197 0.700 0.355  0.01
K 0.903 0.000 0.250  0.01
Sb 0.989 0.310 0.006  0.15
Cs 0.498 0.300 0.145  0.01
Cs 0.502 0.700 0.855  0.01
Sb 0.680 0.690 0.494  0.15
Sb 0.011 0.690 0.994  0.15
Cs 0.803 0.300 0.645  0.01
Sb 0.320 0.310 0.506  0.15
K 0.097 0.000 0.750  0.01

Entry 2:
The following is a DFT calculation (PBE-GGA) of a relaxed LaSm6Y12 crystal.

M_tot: 0.00 μB per atom
Relative energy among the computed polymorphs: 156 meV per atom
Calculated volume: 33.692 Å³/atom
Density: 5.468 g cm⁻³
Formation enthalpy at 0 K: 0.18 eV per atom

Lattice parameters (Å, degrees): 8.619 8.619 8.619 90.69 90.69 90.69
Element x y z (fractional)
Y 0.070 0.143 0.385
La 0.000 0.000 0.000
Sm 0.729 0.858 0.251
Y 0.143 0.385 0.070
Sm 0.271 0.142 0.749
Y 0.205 0.475 0.535
Y 0.475 0.535 0.205
Y 0.465 0.795 0.525
Y 0.525 0.465 0.795
Y 0.535 0.205 0.475
Y 0.385 0.070 0.143
Y 0.615 0.930 0.857
Sm 0.251 0.729 0.858
Sm 0.142 0.749 0.271
Sm 0.749 0.271 0.142
Y 0.857 0.615 0.930
Sm 0.858 0.251 0.729
Y 0.930 0.857 0.615
Y 0.795 0.525 0.465